Record 1
A plane-wave DFT calculation with GGA-PBE was carried out for a relaxed Hf12Ge6C crystal.

Output
Magnetic moment   0.00 μB/f.u.
ΔE_f   -0.34 eV/atom
Electronic total energy   -8.572 eV per atom
SG   R-3
D(E_F)   0.850 states/eV/atom

abc: 7.4315 7.4315 7.4315
angles: 99.23 99.23 99.23
Element x y z (fractional)
Hf 0.9339 0.9988 0.6930
Hf 0.5530 0.1865 0.4261
Hf 0.9988 0.6930 0.9339
Hf 0.4261 0.5530 0.1865
Hf 0.1865 0.4261 0.5530
Hf 0.6930 0.9339 0.9988
Hf 0.5739 0.4470 0.8135
Hf 0.8135 0.5739 0.4470
Hf 0.3070 0.0661 0.0012
Hf 0.4470 0.8135 0.5739
Hf 0.0661 0.0012 0.3070
Hf 0.0012 0.3070 0.0661
Ge 0.8760 0.3490 0.7000
Ge 0.6510 0.3000 0.1240
Ge 0.7000 0.8760 0.3490
Ge 0.3490 0.7000 0.8760
Ge 0.1240 0.6510 0.3000
Ge 0.3000 0.1240 0.6510
C 0.0000 0.0000 0.0000

Record 2
A plane-wave DFT calculation with GGA-PBE was carried out for a relaxed HoH6Ir2Pb crystal.

Output
Magnetic moment   0.00 μB/f.u.
Electronic total energy   -4.790 eV per atom
SG   C2/c
D(E_F)   0.263 states/eV/atom

abc: 6.3900 6.3900 5.5759
angles: 98.07 98.07 99.40
Element x y z (fractional)
H 0.5262 0.2459 0.8037
H 0.4303 0.9381 0.5926
H 0.8214 0.8265 0.4423
H 0.5697 0.0619 0.4074
H 0.2459 0.5262 0.3037
H 0.1786 0.1735 0.5577
H 0.8265 0.8214 0.9423
H 0.0619 0.5697 0.9074
H 0.4738 0.7541 0.1963
H 0.7541 0.4738 0.6963
H 0.9381 0.4303 0.0926
H 0.1735 0.1786 0.0577
Pb 0.6082 0.3918 0.2500
Pb 0.3918 0.6082 0.7500
Ho 0.8618 0.1382 0.7500
Ho 0.1382 0.8618 0.2500
Ir 0.6844 0.9441 0.1977
Ir 0.0559 0.3156 0.3023
Ir 0.9441 0.6844 0.6977
Ir 0.3156 0.0559 0.8023

Record 3
A plane-wave DFT calculation with GGA-PBE was carried out for a relaxed CrHI4 crystal.

Output
Magnetic moment   3.00 μB/f.u.
Electronic total energy   -3.434 eV per atom
SG   C2/c

abc: 7.0366 9.4160 10.5354
angles: 102.33 91.25 134.31
Last column: magnetic moment on the atom in μB.
Element x y z (fractional)
I 0.6829 0.2701 0.0946  -0.08
I 0.5271 0.9082 0.2982  -0.04
I 0.0883 0.1755 0.9054  -0.08
I 0.7288 0.6100 0.7018  -0.04
I 0.3171 0.7299 0.9054  -0.08
I 0.9117 0.8245 0.0946  -0.08
I 0.2712 0.3900 0.2982  -0.04
I 0.4729 0.0918 0.7018  -0.04
H 0.3907 0.6407 0.2814  0.00
H 0.6093 0.3593 0.7186  0.00
Cr 0.2005 0.9505 0.9010  3.01
Cr 0.7995 0.0495 0.0990  3.01

Record 4
A plane-wave DFT calculation with GGA-PBE was carried out for a relaxed BeZnFe2 crystal.

Output
Magnetic moment   4.16 μB/f.u.
ΔE_f   0.04 eV/atom
Electronic total energy   -5.441 eV per atom
SG   Imm2
D(E_F)   0.573 states/eV/atom

abc: 4.4041 4.4041 4.4041
angles: 136.81 129.06 68.95
Last column: magnetic moment on the atom in μB.
Element x y z (fractional)
Fe 0.7513 0.2513 0.5000  2.22
Fe 0.0093 0.0093 0.0000  2.13
Zn 0.4888 0.4888 0.0000  -0.05
Be 0.2506 0.7506 0.5000  -0.07

Record 5
A plane-wave DFT calculation with GGA-PBE was carried out for a relaxed SrAuSe2N crystal.

Output
Magnetic moment   1.41 μB/f.u.
Electronic total energy   -4.036 eV per atom
SG   P4/mmm
D(E_F)   0.703 states/eV/atom
Raw formation energy   0.073 eV per formula unit

abc: 5.3771 5.3771 4.0115
angles: 90.00 90.00 90.00
Last column: magnetic moment on the atom in μB.
Element x y z (fractional)
Au 0.0000 0.0000 0.0000  0.11
N 0.0000 0.0000 0.5000  0.86
Se 0.0000 0.5000 0.0000  0.04
Se 0.5000 0.0000 0.0000  0.04
Sr 0.5000 0.5000 0.5000  0.00

Record 6
A plane-wave DFT calculation with GGA-PBE was carried out for a relaxed Ce4Nd3Te8 crystal.

Output
Magnetic moment   2.67 μB/f.u.
Electronic total energy   -5.621 eV per atom
SG   C2/m
D(E_F)   2.155 states/eV/atom
Raw formation energy   -21.143 eV per formula unit

abc: 8.9875 8.9691 8.9691
angles: 90.03 120.07 120.07
Last column: magnetic moment on the atom in μB.
Element x y z (fractional)
Te 0.5000 0.7502 0.2498  0.00
Te 0.4894 0.7451 0.7451  0.00
Te 0.5000 0.2498 0.7502  0.00
Te 0.5106 0.2549 0.2549  0.00
Te 0.0000 0.7446 0.2554  0.02
Te 0.0000 0.2554 0.7446  0.02
Te 0.9998 0.2551 0.2551  0.01
Te 0.0002 0.7449 0.7449  0.01
Ce 0.0000 0.0000 0.5000  -0.98
Ce 0.0000 0.5000 0.0000  -0.98
Ce 0.0000 0.0000 0.0000  -1.03
Ce 0.5000 0.0000 0.0000  0.90
Nd 0.5000 0.0000 0.5000  -0.03
Nd 0.5000 0.5000 0.0000  -0.03
Nd 0.5000 0.5000 0.5000  -0.01

Record 7
A plane-wave DFT calculation with GGA-PBE was carried out for a relaxed CeY3Er3 crystal.

Output
Magnetic moment   1.30 μB/f.u.
ΔE_f   0.18 eV/atom
Electronic total energy   -5.395 eV per atom
SG   R-3
D(E_F)   2.045 states/eV/atom

abc: 6.1504 6.1504 14.5792
angles: 77.82 77.82 60.00
Last column: magnetic moment on the atom in μB.
Element x y z (fractional)
Y 0.7336 0.4002 0.7992  0.03
Y 0.9330 0.2664 0.2008  0.03
Y 0.2664 0.5998 0.2008  0.03
Y 0.4002 0.0670 0.7992  0.03
Y 0.5998 0.9330 0.2008  0.03
Y 0.0670 0.7336 0.7992  0.03
Er 0.1337 0.4659 0.5993  -0.13
Er 0.8011 0.1337 0.5993  -0.13
Er 0.5341 0.1989 0.4007  -0.13
Er 0.8663 0.5341 0.4007  -0.13
Er 0.4659 0.8011 0.5993  -0.13
Er 0.1989 0.8663 0.4007  -0.13
Ce 0.3334 0.3334 0.0000  1.15
Ce 0.6666 0.6666 0.0000  1.15

Record 8
A plane-wave DFT calculation with GGA-PBE was carried out for a relaxed Zr3TaSe crystal.

Output
Magnetic moment   0.00 μB/f.u.
Electronic total energy   -7.990 eV per atom
SG   Pm-3m
D(E_F)   0.671 states/eV/atom
Raw formation energy   1.031 eV per formula unit

abc: 4.9301 4.9301 4.9301
angles: 90.00 90.00 90.00
Element x y z (fractional)
Se 0.0000 0.0000 0.0000
Zr 0.0000 0.5000 0.0000
Zr 0.5000 0.0000 0.0000
Zr 0.0000 0.0000 0.5000
Ta 0.5000 0.5000 0.5000

Record 9
A plane-wave DFT calculation with GGA-PBE was carried out for a relaxed Dy4GaRh2 crystal.

Output
Magnetic moment   0.00 μB/f.u.
ΔE_f   -0.66 eV/atom
Electronic total energy   -5.823 eV per atom
SG   P1
D(E_F)   0.750 states/eV/atom

abc: 8.3378 8.3365 6.9536
angles: 107.98 107.97 119.39
Element x y z (fractional)
Rh 0.7845 0.8582 0.3727
Rh 0.1078 0.5339 0.8735
Rh 0.4320 0.3529 0.5370
Rh 0.6007 0.1799 0.0357
Dy 0.2454 0.1402 0.7268
Dy 0.3599 0.5386 0.2652
Dy 0.8404 0.6246 0.6041
Dy 0.3907 0.9957 0.2300
Dy 0.7896 0.1090 0.7659
Dy 0.5311 0.7156 0.8978
Dy 0.9647 0.2824 0.3980
Dy 0.8719 0.5880 0.1019
Ga 0.2846 0.7967 0.5938
Ga 0.0466 0.0342 0.0975

Record 10
A plane-wave DFT calculation with GGA-PBE was carried out for a relaxed LiRh2Br crystal.

Output
Magnetic moment   0.00 μB/f.u.
Electronic total energy   -4.411 eV per atom
SG   P2/m
D(E_F)   1.065 states/eV/atom
Raw formation energy   0.644 eV per formula unit

abc: 4.6204 3.0029 4.5494
angles: 90.48 90.00 90.00
Element x y z (fractional)
Rh 0.0000 0.0182 0.9927
Rh 0.0000 0.4818 0.5073
Br 0.5000 0.2500 0.2500
Li 0.5000 0.7500 0.7500

Record 11
A plane-wave DFT calculation with GGA-PBE was carried out for a relaxed MgSb2TeC crystal.

Output
Magnetic moment   1.73 μB/f.u.
Electronic total energy   -2.652 eV per atom
SG   P4/mmm
D(E_F)   1.016 states/eV/atom
Raw formation energy   8.944 eV per formula unit

abc: 5.3917 5.3917 5.3309
angles: 90.00 90.00 90.00
Last column: magnetic moment on the atom in μB.
Element x y z (fractional)
Sb 0.5000 0.0000 0.0000  -0.05
Sb 0.0000 0.5000 0.0000  -0.05
Mg 0.0000 0.0000 0.0000  0.01
Te 0.0000 0.0000 0.5000  0.07
C 0.5000 0.5000 0.5000  0.88

Record 12
A plane-wave DFT calculation with GGA-PBE was carried out for a relaxed Mg2Tl3Hg8 crystal.

Output
Magnetic moment   0.00 μB/f.u.
ΔE_f   -0.05 eV/atom
Electronic total energy   -1.022 eV per atom
SG   P-1
D(E_F)   0.374 states/eV/atom

abc: 3.3939 13.1681 8.1323
angles: 94.06 79.30 75.85
Element x y z (fractional)
Tl 0.5000 0.0000 0.0000
Tl 0.7491 0.2705 0.0251
Tl 0.2509 0.7295 0.9749
Hg 0.3307 0.5269 0.1910
Hg 0.6693 0.4731 0.8091
Hg 0.0792 0.6219 0.6056
Hg 0.7045 0.1319 0.3388
Hg 0.2955 0.8681 0.6612
Hg 0.9272 0.8955 0.3190
Hg 0.0728 0.1045 0.6810
Hg 0.9208 0.3781 0.3944
Mg 0.4024 0.2940 0.6510
Mg 0.5976 0.7060 0.3490